(1)
# Sr2PtAuN (PBE, relaxed)
# polymorph energy (0 for the lowest one): 0 meV/atom
# total magnetic moment: 0.0 μB per cell
data_Sr2PtAuN
_cell_length_a 5.4461
_cell_length_b 5.4461
_cell_length_c 3.8649
_cell_angle_alpha 90.00
_cell_angle_beta 90.00
_cell_angle_gamma 90.00
_space_group_name_H-M_alt 'P 4/m m m'
_space_group_IT_number 123
_space_group_name_Hall '-P 4 2'
loop_
_atom_site_label
_atom_site_fract_x
_atom_site_fract_y
_atom_site_fract_z
Sr1 0.0000 0.5000 0.0000
Pt1 0.0000 0.0000 0.5000
Au1 0.5000 0.5000 0.5000
N1 0.0000 0.0000 0.0000

(2)
# Sr6Pt2AuN (PBE, relaxed)
# final energy: -80.22 eV for the cell shown
# total magnetic moment: 0.0 μB per cell
data_Sr6Pt2AuN
_cell_length_a 7.2393
_cell_length_b 7.9682
_cell_length_c 12.4514
_cell_angle_alpha 90.00
_cell_angle_beta 122.51
_cell_angle_gamma 90.00
_space_group_name_H-M_alt 'P 1 21/c 1'
_space_group_IT_number 14
loop_
_space_group_symop_operation_xyz
'x,y,z'
'-x,-y,-z'
'-x,y+1/2,-z+1/2'
'x,-y+1/2,z+1/2'
loop_
_atom_site_label
_atom_site_fract_x
_atom_site_fract_y
_atom_site_fract_z
Sr1 0.0791 0.0547 0.2267
Sr2 0.2269 0.7060 0.0769
Sr3 0.3578 0.1588 0.0606
Pt1 0.3046 0.1057 0.7646
Au1 0.5000 0.0000 0.5000
N1 0.0000 0.0000 0.0000

(3)
# Te2PtAuN (PBE, relaxed)
# polymorph energy (0 for the lowest one): 608 meV/atom
# total magnetic moment: 0.5 μB per cell
data_Te2PtAuN
_cell_length_a 5.5707
_cell_length_b 5.5707
_cell_length_c 3.7010
_cell_angle_alpha 90.00
_cell_angle_beta 90.00
_cell_angle_gamma 90.00
_space_group_name_H-M_alt 'P 4/m m m'
_space_group_IT_number 123
_space_group_name_Hall '-P 4 2'
loop_
_atom_site_label
_atom_site_fract_x
_atom_site_fract_y
_atom_site_fract_z
Te1 0.0000 0.5000 0.0000
Pt1 0.0000 0.0000 0.5000
Au1 0.5000 0.5000 0.0000
N1 0.5000 0.5000 0.5000

(4)
# Te2PtAuN (PBE, relaxed)
# polymorph energy (0 for the lowest one): 0 meV/atom
# total magnetic moment: 0.0 μB per cell
data_Te2PtAuN
_cell_length_a 5.5948
_cell_length_b 5.5948
_cell_length_c 3.6538
_cell_angle_alpha 90.00
_cell_angle_beta 90.00
_cell_angle_gamma 90.00
_space_group_name_H-M_alt 'P 4/m m m'
_space_group_IT_number 123
_space_group_name_Hall '-P 4 2'
loop_
_atom_site_label
_atom_site_fract_x
_atom_site_fract_y
_atom_site_fract_z
Te1 0.0000 0.5000 0.0000
Pt1 0.0000 0.0000 0.0000
Au1 0.5000 0.5000 0.5000
N1 0.0000 0.0000 0.5000

(5)
# TiPtAu2N (PBE, relaxed)
# polymorph energy (0 for the lowest one): 837 meV/atom
# total magnetic moment: 1.3 μB per cell
data_TiPtAu2N
_cell_length_a 5.1533
_cell_length_b 5.1533
_cell_length_c 4.7169
_cell_angle_alpha 90.00
_cell_angle_beta 90.00
_cell_angle_gamma 90.00
_space_group_name_H-M_alt 'P 4/m m m'
_space_group_IT_number 123
_space_group_name_Hall '-P 4 2'
loop_
_atom_site_label
_atom_site_fract_x
_atom_site_fract_y
_atom_site_fract_z
Ti1 0.0000 0.0000 0.0000
Pt1 0.0000 0.0000 0.5000
Au1 0.0000 0.5000 0.5000
N1 0.5000 0.5000 0.0000

(6)
# TiPtAu2N (PBE, relaxed)
# polymorph energy (0 for the lowest one): 0 meV/atom
# total magnetic moment: 0.0 μB per cell
data_TiPtAu2N
_cell_length_a 4.4020
_cell_length_b 4.4020
_cell_length_c 4.1619
_cell_angle_alpha 90.00
_cell_angle_beta 90.00
_cell_angle_gamma 90.00
_space_group_name_H-M_alt 'P 4/m m m'
_space_group_IT_number 123
_space_group_name_Hall '-P 4 2'
loop_
_atom_site_label
_atom_site_fract_x
_atom_site_fract_y
_atom_site_fract_z
Ti1 0.0000 0.0000 0.0000
Pt1 0.5000 0.5000 0.0000
Au1 0.0000 0.5000 0.5000
N1 0.5000 0.5000 0.5000

(7)
# Pu4Au2N (PBE, relaxed)
# final energy: -150.97 eV for the cell shown
# total magnetic moment: 46.5 μB per cell
data_Pu4Au2N
_cell_length_a 4.6790
_cell_length_b 4.6790
_cell_length_c 15.4398
_cell_angle_alpha 90.00
_cell_angle_beta 90.00
_cell_angle_gamma 90.00
_space_group_name_H-M_alt 'I 4/m m m'
_space_group_IT_number 139
_space_group_name_Hall '-I 4 2'
loop_
_atom_site_label
_atom_site_fract_x
_atom_site_fract_y
_atom_site_fract_z
Pu1 0.0000 0.0000 0.1694
Pu2 0.0000 0.5000 0.0000
Au1 0.0000 0.0000 0.3631
N1 0.0000 0.0000 0.0000

(8)
# Pu2AuSe2N2 (PBE, relaxed)
# final energy: -59.82 eV for the cell shown
# total magnetic moment: 7.0 μB per cell
data_Pu2AuSe2N2
_cell_length_a 3.7192
_cell_length_b 3.7192
_cell_length_c 12.1709
_cell_angle_alpha 90.00
_cell_angle_beta 90.00
_cell_angle_gamma 120.00
_space_group_name_H-M_alt 'P -3 m 1'
_space_group_IT_number 164
_space_group_name_Hall '-P 3 2"'
loop_
_atom_site_label
_atom_site_fract_x
_atom_site_fract_y
_atom_site_fract_z
Pu1 0.3333 0.6667 0.3025
Au1 0.0000 0.0000 0.5000
Se1 0.0000 0.0000 0.1555
N1 0.3333 0.6667 0.6382

(9)
# Pu2Te2AuN2 (PBE, relaxed)
# final energy: -58.12 eV for the cell shown
# total magnetic moment: 7.0 μB per cell
data_Pu2Te2AuN2
_cell_length_a 3.7032
_cell_length_b 3.7032
_cell_length_c 14.0527
_cell_angle_alpha 90.00
_cell_angle_beta 90.00
_cell_angle_gamma 120.00
_space_group_name_H-M_alt 'P -3 m 1'
_space_group_IT_number 164
_space_group_name_Hall '-P 3 2"'
loop_
_atom_site_label
_atom_site_fract_x
_atom_site_fract_y
_atom_site_fract_z
Pu1 0.3333 0.6667 0.3241
Te1 0.0000 0.0000 0.1529
Au1 0.0000 0.0000 0.5000
N1 0.3333 0.6667 0.6582

(10)
# RbAuN2 (PBE, relaxed)
# polymorph energy (0 for the lowest one): 2296 meV/atom
# total magnetic moment: 0.0 μB per cell
data_RbAuN2
_cell_length_a 6.2888
_cell_length_b 6.2888
_cell_length_c 6.2888
_cell_angle_alpha 90.00
_cell_angle_beta 90.00
_cell_angle_gamma 90.00
_space_group_name_H-M_alt 'F m -3 m'
_space_group_IT_number 225
_space_group_name_Hall '-F 4 2 3'
loop_
_atom_site_label
_atom_site_fract_x
_atom_site_fract_y
_atom_site_fract_z
Rb1 0.0000 0.0000 0.0000
Au1 0.0000 0.0000 0.5000
N1 0.2500 0.2500 0.2500

(11)
# RbAu2N (PBE, relaxed)
# final energy: -62.46 eV for the cell shown
# total magnetic moment: 0.0 μB per cell
data_RbAu2N
_cell_length_a 6.6925
_cell_length_b 6.6925
_cell_length_c 9.5011
_cell_angle_alpha 90.00
_cell_angle_beta 90.00
_cell_angle_gamma 90.00
_space_group_name_H-M_alt 'I 41/a m d'
_space_group_IT_number 141
loop_
_space_group_symop_operation_xyz
'x,y,z'
'-x,-y,-z'
'-y+1/4,x+3/4,z+1/4'
'y+1/4,-x+3/4,-z+1/4'
'-x+1/2,-y,z+1/2'
'x+1/2,y,-z+1/2'
'y+1/4,-x+1/4,z+3/4'
'-y+1/4,x+1/4,-z+3/4'
'x,-y,-z'
'-x,y,z'
'-y+1/4,-x+1/4,-z+3/4'
'y+1/4,x+1/4,z+3/4'
'-x+1/2,y,-z+1/2'
'x+1/2,-y,z+1/2'
'y+1/4,x+3/4,-z+1/4'
'-y+1/4,-x+3/4,z+1/4'
'x+1/2,y+1/2,z+1/2'
'-x+1/2,-y+1/2,-z+1/2'
'-y+3/4,x+1/4,z+3/4'
'y+3/4,-x+1/4,-z+3/4'
'-x,-y+1/2,z'
'x,y+1/2,-z'
'y+3/4,-x+3/4,z+1/4'
'-y+3/4,x+3/4,-z+1/4'
'x+1/2,-y+1/2,-z+1/2'
'-x+1/2,y+1/2,z+1/2'
'-y+3/4,-x+3/4,-z+1/4'
'y+3/4,x+3/4,z+1/4'
'-x,y+1/2,-z'
'x,-y+1/2,z'
'y+3/4,x+1/4,-z+3/4'
'-y+3/4,-x+1/4,z+3/4'
loop_
_atom_site_label
_atom_site_fract_x
_atom_site_fract_y
_atom_site_fract_z
Rb1 0.0000 0.2500 0.3750
Au1 0.0000 0.0000 0.0000
N1 0.0000 0.2500 0.8750

(12)
# Rb2AuN2 (PBE, relaxed)
# polymorph energy (0 for the lowest one): 0 meV/atom
# total magnetic moment: 1.9 μB per cell
data_Rb2AuN2
_cell_length_a 8.4082
_cell_length_b 4.7446
_cell_length_c 8.6843
_cell_angle_alpha 90.00
_cell_angle_beta 111.65
_cell_angle_gamma 90.00
_space_group_name_H-M_alt 'C 1 2/m 1'
_space_group_IT_number 12
loop_
_space_group_symop_operation_xyz
'x,y,z'
'-x,-y,-z'
'-x,y,-z'
'x,-y,z'
'x+1/2,y+1/2,z'
'-x+1/2,-y+1/2,-z'
'-x+1/2,y+1/2,-z'
'x+1/2,-y+1/2,z'
loop_
_atom_site_label
_atom_site_fract_x
_atom_site_fract_y
_atom_site_fract_z
Rb1 0.2320 0.0000 0.2364
Au1 0.0000 0.0000 0.5000
N1 0.0456 0.5000 0.9623

Copy entry 6 word for word.
# TiPtAu2N (PBE, relaxed)
# polymorph energy (0 for the lowest one): 0 meV/atom
# total magnetic moment: 0.0 μB per cell
data_TiPtAu2N
_cell_length_a 4.4020
_cell_length_b 4.4020
_cell_length_c 4.1619
_cell_angle_alpha 90.00
_cell_angle_beta 90.00
_cell_angle_gamma 90.00
_space_group_name_H-M_alt 'P 4/m m m'
_space_group_IT_number 123
_space_group_name_Hall '-P 4 2'
loop_
_atom_site_label
_atom_site_fract_x
_atom_site_fract_y
_atom_site_fract_z
Ti1 0.0000 0.0000 0.0000
Pt1 0.5000 0.5000 0.0000
Au1 0.0000 0.5000 0.5000
N1 0.5000 0.5000 0.5000